(1)
A plane-wave DFT calculation with SCAN was carried out for a crystal of KAs2Cl relaxed with PBEsol.

Lattice parameters (Å, degrees): 5.000 5.000 5.000 60.00 60.00 60.00
Atoms (fractional coordinates):
As 0.750 0.750 0.750
K 0.250 0.250 0.250
As 0.000 0.000 0.000
Cl 0.500 0.500 0.500

Output
Space group ... F-43m
Energy ... -57.4 eV per cell
Total magnetization ... 0.00 μB/f.u.

=====

(2)
A plane-wave DFT calculation with SCAN was carried out for a crystal of RbFeCuAg2 relaxed with PBEsol.

Lattice parameters (Å, degrees): 4.731 5.321 5.321 90.00 90.00 90.00
Last column: magnetic moment on the atom in μB.
Atoms (fractional coordinates):
Cu 0.500 0.500 0.500  0.00
Ag 0.000 0.000 0.500  -0.03
Ag 0.000 0.500 0.000  -0.03
Fe 0.500 0.000 0.000  2.83
Rb 0.000 0.000 0.000  0.03

Output
Space group ... P4/mmm
Energy ... -105.8 eV per cell
Energy of formation ... 2.20 eV/atom
Total magnetization ... 2.86 μB/f.u.

=====

(3)
A plane-wave DFT calculation with SCAN was carried out for a crystal of MgCuTe2 relaxed with PBEsol.

Lattice parameters (Å, degrees): 3.755 3.755 6.726 90.00 90.00 90.00
Atoms (fractional coordinates):
Te 0.000 0.000 0.104
Te 0.500 0.500 0.649
Cu 0.000 0.000 0.503
Mg 0.500 0.500 0.243

Output
Space group ... P4mm
Energy ... -95.8 eV per cell
Energy above the lowest structure with this stoichiometry ... 0.000 eV/atom
Total magnetization ... 0.00 μB/f.u.

=====

(4)
A plane-wave DFT calculation with SCAN was carried out for a crystal of TlReAu2 relaxed with PBEsol.

Lattice parameters (Å, degrees): 2.830 5.195 5.195 113.93 90.00 90.00
Atoms (fractional coordinates):
Re 0.500 0.500 0.500
Tl 0.500 0.000 0.000
Au 0.000 0.000 0.500
Au 0.000 0.500 0.000

Output
Space group ... Cmmm
Energy ... -279.2 eV per cell
Energy of formation ... 0.63 eV/atom
Energy above the lowest structure with this stoichiometry ... 0.000 eV/atom
Total magnetization ... 0.00 μB/f.u.

=====

(5)
A plane-wave DFT calculation with SCAN was carried out for a crystal of LaGe3P relaxed with PBEsol.

Lattice parameters (Å, degrees): 4.794 4.794 4.794 90.00 90.00 90.00
Atoms (fractional coordinates):
Ge 0.000 0.500 0.000
La 0.500 0.500 0.500
P 0.000 0.000 0.000
Ge 0.500 0.000 0.000
Ge 0.000 0.000 0.500

Output
Space group ... Pm-3m
Energy ... -110.4 eV per cell
Energy of formation ... 0.07 eV/atom
Total magnetization ... 0.00 μB/f.u.

=====

(6)
A plane-wave DFT calculation with SCAN was carried out for a crystal of SrTc2P relaxed with PBEsol.

Lattice parameters (Å, degrees): 3.894 3.894 4.516 90.00 90.00 90.00
Atoms (fractional coordinates):
Sr 0.000 0.000 0.500
Tc 0.000 0.500 0.000
Tc 0.500 0.000 0.000
P 0.500 0.500 0.500

Output
Space group ... P4/mmm
Energy ... -99.7 eV per cell
Energy of formation ... 0.78 eV/atom
Energy above the lowest structure with this stoichiometry ... 0.484 eV/atom
Total magnetization ... 0.00 μB/f.u.

=====

(7)
A plane-wave DFT calculation with SCAN was carried out for a crystal of FePRu3 relaxed with PBEsol.

Lattice parameters (Å, degrees): 4.253 4.253 4.253 90.00 90.00 90.00
Last column: magnetic moment on the atom in μB.
Atoms (fractional coordinates):
Ru 0.000 0.500 0.000  0.63
Fe 0.500 0.500 0.500  3.74
P 0.000 0.000 0.000  -0.01
Ru 0.500 0.000 0.000  0.63
Ru 0.000 0.000 0.500  0.63

Output
Space group ... Pm-3m
Energy ... -130.6 eV per cell
Energy of formation ... 0.47 eV/atom
Total magnetization ... 5.54 μB/f.u.

=====

(8)
A plane-wave DFT calculation with SCAN was carried out for a crystal of KCr2ReF relaxed with PBEsol.

Lattice parameters (Å, degrees): 4.752 4.649 4.649 90.00 90.00 90.00
Last column: magnetic moment on the atom in μB.
Atoms (fractional coordinates):
K 0.500 0.500 0.500  0.03
F 0.500 0.000 0.000  0.04
Re 0.000 0.000 0.000  -0.76
Cr 0.000 0.000 0.500  3.33
Cr 0.000 0.500 0.000  3.33

Output
Space group ... P4/mmm
Energy ... -117.2 eV per cell
Total magnetization ... 6.70 μB/f.u.